[1]
Material: TlSiAu4
Method: DFT, PBE
State: relaxed

Cell lengths 9.7620, 9.7620, 5.9781 Å; angles 90.00, 90.00, 152.34 degrees
Sites, in units of the cell vectors:
1 Tl 0.0936 0.9064 0.7500
2 Tl 0.9064 0.0936 0.2500
3 Si 0.3951 0.6049 0.7500
4 Si 0.6049 0.3951 0.2500
5 Au 0.1565 0.8435 0.2500
6 Au 0.2943 0.7057 0.0168
7 Au 0.2943 0.7057 0.4832
8 Au 0.5000 0.5000 0.0000
9 Au 0.5000 0.5000 0.5000
10 Au 0.7057 0.2943 0.5168
11 Au 0.7057 0.2943 0.9832
12 Au 0.8435 0.1565 0.7500

Computed properties:
- DOS at the Fermi energy: 2.577 states/eV/f.u.
- Symmetry: No. 63
- Distance to the lowest polymorph of the same formula: 0.0 meV per atom
- Crystal system: orthorhombic
- V: 22.0 Å³ per atom
- Raw formation energy: 0.018 eV per atom

[2]
Material: Tl2Si2Au3
Method: DFT, PBE
State: relaxed

Cell lengths 4.7099, 6.2662, 6.4643 Å; angles 64.82, 88.21, 68.02 degrees
Sites, in units of the cell vectors:
1 Tl 0.1687 0.1237 0.1020
2 Tl 0.8313 0.8763 0.8980
3 Si 0.3065 0.6121 0.5994
4 Si 0.6935 0.3879 0.4006
5 Au 0.2529 0.2478 0.5143
6 Au 0.5000 0.5000 0.0000
7 Au 0.7471 0.7522 0.4857

Computed properties:
- DOS at the Fermi energy: 1.900 states/eV/f.u.
- Symmetry: No. 2
- Crystal system: triclinic
- V: 22.6 Å³ per atom
- Raw formation energy: 0.029 eV per atom

[3]
Material: Tl4SiAu4
Method: DFT, PBE
State: relaxed

Cell lengths 7.9603, 7.9603, 7.3527 Å; angles 90.00, 90.00, 90.00 degrees
Sites, in units of the cell vectors:
1 Tl 0.0317 0.6742 0.1375
2 Tl 0.1742 0.9683 0.6375
3 Tl 0.3258 0.5317 0.6375
4 Tl 0.4683 0.8258 0.1375
5 Tl 0.5317 0.1742 0.8625
6 Tl 0.6742 0.4683 0.3625
7 Tl 0.8258 0.0317 0.3625
8 Tl 0.9683 0.3258 0.8625
9 Si 0.2500 0.2500 0.2500
10 Si 0.7500 0.7500 0.7500
11 Au 0.0317 0.3273 0.4617
12 Au 0.1727 0.0317 0.0383
13 Au 0.3273 0.4683 0.0383
14 Au 0.4683 0.1727 0.4617
15 Au 0.5317 0.8273 0.5383
16 Au 0.6727 0.5317 0.9617
17 Au 0.8273 0.9683 0.9617
18 Au 0.9683 0.6727 0.5383

Computed properties:
- DOS at the Fermi energy: 3.130 states/eV/f.u.
- Symmetry: No. 86
- Crystal system: tetragonal
- V: 25.9 Å³ per atom
- Raw formation energy: -0.006 eV per atom

[4]
Material: Tl2SiAu2
Method: DFT, PBE
State: relaxed

Cell lengths 6.6208, 6.6208, 5.5144 Å; angles 90.00, 90.00, 90.00 degrees
Sites, in units of the cell vectors:
1 Tl 0.1748 0.3252 0.0000
2 Tl 0.3252 0.8252 0.0000
3 Tl 0.6748 0.1748 0.0000
4 Tl 0.8252 0.6748 0.0000
5 Si 0.0000 0.0000 0.5000
6 Si 0.5000 0.5000 0.5000
7 Au 0.1577 0.6577 0.5000
8 Au 0.3423 0.1577 0.5000
9 Au 0.6577 0.8423 0.5000
10 Au 0.8423 0.3423 0.5000

Computed properties:
- DOS at the Fermi energy: 1.836 states/eV/f.u.
- Symmetry: No. 127
- Distance to the lowest polymorph of the same formula: 161.8 meV per atom
- Crystal system: tetragonal
- V: 24.2 Å³ per atom
- Raw formation energy: 0.120 eV per atom

[5]
Material: Tl4SiAu
Method: DFT, PBE
State: relaxed

Cell lengths 6.2606, 6.2606, 6.2606 Å; angles 60.00, 60.00, 60.00 degrees
Sites, in units of the cell vectors:
1 Tl 0.1251 0.1251 0.1251
2 Tl 0.1251 0.1251 0.6246
3 Tl 0.1251 0.6246 0.1251
4 Tl 0.6246 0.1251 0.1251
5 Si 0.5000 0.5000 0.5000
6 Au 0.7500 0.7500 0.7500

Computed properties:
- DOS at the Fermi energy: 4.287 states/eV/f.u.
- Symmetry: No. 216
- Crystal system: cubic
- V: 28.9 Å³ per atom
- Raw formation energy: 0.571 eV per atom

[6]
Material: TlSiAu4
Method: DFT, PBE
State: relaxed

Cell lengths 5.5960, 5.5960, 5.5960 Å; angles 60.00, 60.00, 60.00 degrees
Sites, in units of the cell vectors:
1 Tl 0.0000 0.0000 0.0000
2 Si 0.2500 0.2500 0.2500
3 Au 0.1257 0.6248 0.6248
4 Au 0.6248 0.1257 0.6248
5 Au 0.6248 0.6248 0.1257
6 Au 0.6248 0.6248 0.6248

Computed properties:
- DOS at the Fermi energy: 5.182 states/eV/f.u.
- Symmetry: No. 216
- Distance to the lowest polymorph of the same formula: 261.2 meV per atom
- Crystal system: cubic
- V: 20.7 Å³ per atom
- Raw formation energy: 0.280 eV per atom

[7]
Material: TlSi2Au7
Method: DFT, PBE
State: relaxed

Cell lengths 7.3520, 7.3520, 4.6286 Å; angles 90.00, 90.00, 119.08 degrees
Sites, in units of the cell vectors:
1 Tl 0.0000 0.0000 0.0000
2 Si 0.3021 0.6979 0.5000
3 Si 0.6979 0.3021 0.5000
4 Au 0.0661 0.3132 0.5000
5 Au 0.2373 0.7627 0.0000
6 Au 0.3132 0.0661 0.5000
7 Au 0.5000 0.5000 0.5000
8 Au 0.6868 0.9339 0.5000
9 Au 0.7627 0.2373 0.0000
10 Au 0.9339 0.6868 0.5000

Computed properties:
- DOS at the Fermi energy: 4.563 states/eV/f.u.
- Symmetry: No. 65
- Crystal system: orthorhombic
- V: 21.9 Å³ per atom
- Raw formation energy: 0.033 eV per atom

[8]
Material: TlSi4Au
Method: DFT, PBE
State: relaxed

Cell lengths 5.3921, 5.3921, 5.3921 Å; angles 60.00, 60.00, 60.00 degrees
Sites, in units of the cell vectors:
1 Tl 0.0000 0.0000 0.0000
2 Si 0.3752 0.3752 0.3752
3 Si 0.3752 0.3752 0.8743
4 Si 0.3752 0.8743 0.3752
5 Si 0.8743 0.3752 0.3752
6 Au 0.7500 0.7500 0.7500

Computed properties:
- DOS at the Fermi energy: 2.540 states/eV/f.u.
- Symmetry: No. 216
- Crystal system: cubic
- V: 18.5 Å³ per atom
- Raw formation energy: 0.568 eV per atom

[9]
Material: Tl3SiAu4
Method: DFT, PBE
State: relaxed

Cell lengths 9.2786, 6.8931, 12.5050 Å; angles 90.00, 90.13, 90.00 degrees
Sites, in units of the cell vectors:
1 Tl 0.0200 0.0477 0.3491
2 Tl 0.0200 0.4523 0.8491
3 Tl 0.2495 0.1921 0.0604
4 Tl 0.2495 0.3079 0.5604
5 Tl 0.4791 0.0487 0.3492
6 Tl 0.4791 0.4513 0.8492
7 Tl 0.5209 0.5487 0.1508
8 Tl 0.5209 0.9513 0.6508
9 Tl 0.7505 0.6921 0.4396
10 Tl 0.7505 0.8079 0.9396
11 Tl 0.9800 0.5477 0.1509
12 Tl 0.9800 0.9523 0.6509
13 Si 0.2503 0.6512 0.3635
14 Si 0.2503 0.8488 0.8635
15 Si 0.7497 0.1512 0.1365
16 Si 0.7497 0.3488 0.6365
17 Au 0.0273 0.0225 0.8864
18 Au 0.0273 0.4775 0.3864
19 Au 0.2499 0.6057 0.0050
20 Au 0.2498 0.6617 0.6965
21 Au 0.2498 0.8383 0.1965
22 Au 0.2499 0.8943 0.5050
23 Au 0.4736 0.0218 0.8863
24 Au 0.4736 0.4782 0.3863
25 Au 0.5264 0.5218 0.6137
26 Au 0.5264 0.9782 0.1137
27 Au 0.7501 0.1057 0.4950
28 Au 0.7502 0.1617 0.8035
29 Au 0.7502 0.3383 0.3035
30 Au 0.7501 0.3943 0.9950
31 Au 0.9727 0.5225 0.6136
32 Au 0.9727 0.9775 0.1136

Computed properties:
- DOS at the Fermi energy: 2.812 states/eV/f.u.
- Symmetry: No. 14
- Crystal system: monoclinic
- V: 25.0 Å³ per atom
- Raw formation energy: -0.004 eV per atom

[10]
Material: Tl2SiAu2
Method: DFT, PBE
State: relaxed

Cell lengths 8.7735, 8.7735, 8.7735 Å; angles 154.87, 154.87, 35.84 degrees
Sites, in units of the cell vectors:
1 Tl 0.1004 0.1004 0.0000
2 Tl 0.8996 0.8996 0.0000
3 Si 0.5000 0.5000 0.0000
4 Au 0.2500 0.7500 0.5000
5 Au 0.7500 0.2500 0.5000

Computed properties:
- DOS at the Fermi energy: 2.081 states/eV/f.u.
- Symmetry: No. 139
- Distance to the lowest polymorph of the same formula: 369.4 meV per atom
- Crystal system: tetragonal
- V: 24.3 Å³ per atom
- Raw formation energy: 0.327 eV per atom

[11]
Material: Tl2SiAu3
Method: DFT, PBE
State: relaxed

Cell lengths 7.4022, 7.4022, 5.5514 Å; angles 90.19, 90.19, 71.57 degrees
Sites, in units of the cell vectors:
1 Tl 0.0191 0.6649 0.7497
2 Tl 0.3351 0.9809 0.7503
3 Tl 0.6649 0.0191 0.2497
4 Tl 0.9809 0.3351 0.2503
5 Si 0.3565 0.6435 0.2500
6 Si 0.6435 0.3565 0.7500
7 Au 0.0822 0.9178 0.2500
8 Au 0.3593 0.3589 0.4989
9 Au 0.3589 0.3593 0.9989
10 Au 0.6411 0.6407 0.0011
11 Au 0.6407 0.6411 0.5011
12 Au 0.9178 0.0822 0.7500

Computed properties:
- DOS at the Fermi energy: 1.777 states/eV/f.u.
- Symmetry: No. 15
- Crystal system: monoclinic
- V: 24.0 Å³ per atom
- Raw formation energy: 0.005 eV per atom

[12]
Material: Tl2Si2Au5
Method: DFT, PBE
State: relaxed

Cell lengths 4.8318, 6.9804, 6.9881 Å; angles 116.57, 109.54, 90.17 degrees
Sites, in units of the cell vectors:
1 Tl 0.1587 0.0066 0.2948
2 Tl 0.8413 0.9934 0.7052
3 Si 0.2870 0.6014 0.7295
4 Si 0.7130 0.3986 0.2705
5 Au 0.2251 0.5212 0.3214
6 Au 0.3736 0.2879 0.8079
7 Au 0.5000 0.0000 0.0000
8 Au 0.6264 0.7121 0.1921
9 Au 0.7749 0.4788 0.6786

Computed properties:
- DOS at the Fermi energy: 2.506 states/eV/f.u.
- Symmetry: No. 2
- Crystal system: triclinic
- V: 21.7 Å³ per atom
- Raw formation energy: -0.028 eV per atom

[13]
Material: Tl2SiAu4
Method: DFT, PBE
State: relaxed

Cell lengths 6.4333, 6.7865, 8.9789 Å; angles 108.55, 90.06, 118.19 degrees
Sites, in units of the cell vectors:
1 Tl 0.1086 0.2171 0.3862
2 Tl 0.1364 0.2715 0.9844
3 Tl 0.8636 0.7285 0.0156
4 Tl 0.8914 0.7829 0.6138
5 Si 0.3163 0.6338 0.7758
6 Si 0.6837 0.3662 0.2242
7 Au 0.1069 0.6566 0.3074
8 Au 0.4079 0.8170 0.0642
9 Au 0.4418 0.8834 0.6127
10 Au 0.4505 0.3439 0.6929
11 Au 0.5495 0.6561 0.3071
12 Au 0.5582 0.1166 0.3873
13 Au 0.5921 0.1830 0.9358
14 Au 0.8931 0.3434 0.6926

Computed properties:
- DOS at the Fermi energy: 1.902 states/eV/f.u.
- Symmetry: No. 2
- Crystal system: triclinic
- V: 23.0 Å³ per atom
- Raw formation energy: -0.068 eV per atom

[14]
Material: Tl5SiAu6
Method: DFT, PBE
State: relaxed

Cell lengths 6.8020, 7.0762, 7.4441 Å; angles 61.96, 79.06, 66.30 degrees
Sites, in units of the cell vectors:
1 Tl 0.0000 0.0000 0.0000
2 Tl 0.0003 0.2900 0.4156
3 Tl 0.9997 0.7100 0.5844
4 Tl 0.4987 0.8577 0.2848
5 Tl 0.5013 0.1423 0.7152
6 Si 0.5000 0.5000 0.0000
7 Au 0.2211 0.3442 0.9999
8 Au 0.2957 0.5444 0.3033
9 Au 0.2966 0.8475 0.6991
10 Au 0.7034 0.1525 0.3009
11 Au 0.7043 0.4556 0.6967
12 Au 0.7789 0.6558 0.0001

Computed properties:
- DOS at the Fermi energy: 3.045 states/eV/f.u.
- Symmetry: No. 2
- Crystal system: triclinic
- V: 24.1 Å³ per atom
- Raw formation energy: -0.001 eV per atom

[15]
Material: Tl5SiAu3
Method: DFT, PBE
State: relaxed

Cell lengths 8.5170, 8.5170, 8.9692 Å; angles 116.43, 116.43, 66.65 degrees
Sites, in units of the cell vectors:
1 Tl 0.0169 0.0169 0.3422
2 Tl 0.0741 0.5740 0.2822
3 Tl 0.1968 0.8032 0.0000
4 Tl 0.3142 0.3142 0.6206
5 Tl 0.4260 0.9259 0.7178
6 Tl 0.5740 0.0741 0.2822
7 Tl 0.6858 0.6858 0.3794
8 Tl 0.8032 0.1968 0.0000
9 Tl 0.9259 0.4260 0.7178
10 Tl 0.9831 0.9831 0.6578
11 Si 0.4167 0.4167 0.1791
12 Si 0.5833 0.5833 0.8209
13 Au 0.1786 0.1786 0.2398
14 Au 0.2187 0.2187 0.9603
15 Au 0.5000 0.5000 0.0000
16 Au 0.5000 0.5000 0.5000
17 Au 0.7813 0.7813 0.0397
18 Au 0.8214 0.8214 0.7602

Computed properties:
- DOS at the Fermi energy: 4.107 states/eV/f.u.
- Symmetry: No. 12
- Crystal system: monoclinic
- V: 28.1 Å³ per atom
- Raw formation energy: 0.073 eV per atom

[16]
Material: TlSiAu4
Method: DFT, PBE
State: relaxed

Cell lengths 5.9049, 6.2515, 7.2900 Å; angles 101.55, 95.10, 100.44 degrees
Sites, in units of the cell vectors:
1 Tl 0.1465 0.2666 0.4374
2 Tl 0.8535 0.7334 0.5626
3 Si 0.0000 0.5000 0.0000
4 Si 0.5000 0.0000 0.0000
5 Au 0.1407 0.1451 0.9170
6 Au 0.2706 0.6797 0.2797
7 Au 0.3704 0.5737 0.8563
8 Au 0.4097 0.9081 0.6496
9 Au 0.5903 0.0919 0.3504
10 Au 0.6296 0.4263 0.1437
11 Au 0.7294 0.3203 0.7203
12 Au 0.8593 0.8549 0.0830

Computed properties:
- DOS at the Fermi energy: 1.798 states/eV/f.u.
- Symmetry: No. 2
- Distance to the lowest polymorph of the same formula: 6.5 meV per atom
- Crystal system: triclinic
- V: 21.4 Å³ per atom
- Raw formation energy: 0.025 eV per atom

[17]
Material: Tl3SiAu2
Method: DFT, PBE
State: relaxed

Cell lengths 8.6736, 8.6736, 11.9810 Å; angles 127.72, 127.72, 26.26 degrees
Sites, in units of the cell vectors:
1 Tl 0.0690 0.0690 0.1833
2 Tl 0.2080 0.2080 0.6607
3 Tl 0.3408 0.3408 0.0060
4 Tl 0.6592 0.6592 0.9940
5 Tl 0.7920 0.7920 0.3393
6 Tl 0.9310 0.9310 0.8167
7 Si 0.4984 0.4984 0.5990
8 Si 0.5016 0.5016 0.4010
9 Au 0.0845 0.0845 0.7534
10 Au 0.3372 0.3372 0.5592
11 Au 0.6628 0.6628 0.4408
12 Au 0.9155 0.9155 0.2466

Computed properties:
- DOS at the Fermi energy: 1.636 states/eV/f.u.
- Symmetry: No. 12
- Crystal system: monoclinic
- V: 25.9 Å³ per atom
- Raw formation energy: 0.008 eV per atom

[18]
Material: Tl5Si2Au4
Method: DFT, PBE
State: relaxed

Cell lengths 7.8681, 7.8681, 8.7457 Å; angles 100.31, 100.31, 33.47 degrees
Sites, in units of the cell vectors:
1 Tl 0.0000 0.0000 0.0000
2 Tl 0.3180 0.3180 0.4052
3 Tl 0.3327 0.3327 0.9411
4 Tl 0.6673 0.6673 0.0589
5 Tl 0.6820 0.6820 0.5948
6 Si 0.0109 0.0109 0.3719
7 Si 0.9891 0.9891 0.6281
8 Au 0.1430 0.1430 0.7968
9 Au 0.4546 0.4546 0.7028
10 Au 0.5454 0.5454 0.2972
11 Au 0.8570 0.8570 0.2032

Computed properties:
- DOS at the Fermi energy: 2.957 states/eV/f.u.
- Symmetry: No. 12
- Crystal system: monoclinic
- V: 26.7 Å³ per atom
- Raw formation energy: 0.008 eV per atom

[19]
Material: Tl5Si2Au6
Method: DFT, PBE
State: relaxed

Cell lengths 12.1297, 14.1691, 3.7680 Å; angles 90.00, 90.00, 90.00 degrees
Sites, in units of the cell vectors:
1 Tl 0.0000 0.0000 0.0000
2 Tl 0.0626 0.2671 0.0000
3 Tl 0.1965 0.4895 0.0000
4 Tl 0.3035 0.9895 0.0000
5 Tl 0.4374 0.7671 0.0000
6 Tl 0.5000 0.5000 0.0000
7 Tl 0.5626 0.2329 0.0000
8 Tl 0.6965 0.0105 0.0000
9 Tl 0.8035 0.5105 0.0000
10 Tl 0.9374 0.7329 0.0000
11 Si 0.1855 0.7092 0.5000
12 Si 0.3145 0.2092 0.5000
13 Si 0.6855 0.7908 0.5000
14 Si 0.8145 0.2908 0.5000
15 Au 0.0423 0.5895 0.5000
16 Au 0.1465 0.1141 0.5000
17 Au 0.1745 0.8175 0.0000
18 Au 0.3255 0.3175 0.0000
19 Au 0.3535 0.6141 0.5000
20 Au 0.4577 0.0895 0.5000
21 Au 0.5423 0.9105 0.5000
22 Au 0.6465 0.3859 0.5000
23 Au 0.6745 0.6825 0.0000
24 Au 0.8255 0.1825 0.0000
25 Au 0.8535 0.8859 0.5000
26 Au 0.9577 0.4105 0.5000

Computed properties:
- DOS at the Fermi energy: 4.936 states/eV/f.u.
- Symmetry: No. 55
- Crystal system: orthorhombic
- V: 24.9 Å³ per atom
- Raw formation energy: 0.043 eV per atom

[20]
Material: Tl5Si2Au5
Method: DFT, PBE
State: relaxed

Cell lengths 7.2256, 7.2256, 11.5579 Å; angles 102.70, 102.70, 30.41 degrees
Sites, in units of the cell vectors:
1 Tl 0.0000 0.0000 0.0000
2 Tl 0.1710 0.1710 0.5835
3 Tl 0.2750 0.2750 0.8861
4 Tl 0.7250 0.7250 0.1139
5 Tl 0.8290 0.8290 0.4165
6 Si 0.4580 0.4580 0.6946
7 Si 0.5420 0.5420 0.3054
8 Au 0.1467 0.1467 0.2821
9 Au 0.3963 0.3963 0.1460
10 Au 0.5000 0.5000 0.5000
11 Au 0.6037 0.6037 0.8540
12 Au 0.8533 0.8533 0.7179

Computed properties:
- DOS at the Fermi energy: 5.224 states/eV/f.u.
- Symmetry: No. 12
- Crystal system: monoclinic
- V: 24.8 Å³ per atom
- Raw formation energy: 0.002 eV per atom